Here is crystalline TaTcTeF2 at its relaxed geometry from the Alexandria database. Energies are from PBEsol.

Values from the calculation:
Formation energy from raw total energies: 0.16 eV per atom
E_tot: -30.41 eV/cell
Mass density: 8.42 Mg/m³

CIF file:
```
data_TaTcTeF2
_cell_length_a 4.062
_cell_length_b 4.062
_cell_length_c 5.313
_cell_angle_alpha 90.00
_cell_angle_beta 90.00
_cell_angle_gamma 90.00
_symmetry_space_group_name_H-M 'P 4/m m m'
_symmetry_Int_Tables_number 123
_symmetry_space_group_name_Hall '-P 4 2'
loop_
_atom_site_label
_atom_site_type_symbol
_atom_site_fract_x
_atom_site_fract_y
_atom_site_fract_z
Ta1 Ta 0.000 0.000 0.000
Tc1 Tc 0.500 0.500 0.000
Te1 Te 0.500 0.500 0.500
F1 F 0.000 0.500 0.500
```